(one)
Crystalline TiTcOF2 at its relaxed geometry. Source: Alexandria via LeMat-Bulk, functional PBE.

The structure belongs to space group P4/mmm (No. 123); the cell edges are 4.3397, 4.3397 and 3.7515 Å and the angles 90.00°, 90.00° and 90.00°. The inequivalent atoms are Ti at (0.0000, 0.0000, 0.0000), Tc at (0.5000, 0.5000, 0.5000), O at (0.5000, 0.5000, 0.0000) and F at (0.0000, 0.5000, 0.5000).

The calculation puts the calculated volume at 14.1 A^3/atom. The total moment is 0.038 μB/atom.

---

(two)
Crystalline TiTcOF2 at its relaxed geometry. Source: Alexandria via LeMat-Bulk, functional PBE.

The structure belongs to space group P4/mmm (No. 123); the cell edges are 4.1462, 4.1462 and 3.8551 Å and the angles 90.00°, 90.00° and 90.00°. The inequivalent atoms are Ti at (0.0000, 0.0000, 0.0000), Tc at (0.5000, 0.5000, 0.5000), O at (0.0000, 0.0000, 0.5000) and F at (0.0000, 0.5000, 0.0000).

The calculation puts the calculated volume at 13.3 A^3/atom. The total moment is 0.655 μB/atom.

---

Which of them is the most stable? Correct choice: (two).